# 1
A plane-wave DFT calculation with PBE was carried out for a relaxed structure of NaMg2As2.

abc: 8.145 8.145 3.153
angles: 90.00 90.00 90.00
Fractional coordinates of all 10 atoms:
Na 0.000 0.000 0.000
Na 0.500 0.500 0.000
Mg 0.130 0.370 0.000
Mg 0.370 0.870 0.000
Mg 0.630 0.130 0.000
Mg 0.870 0.630 0.000
As 0.167 0.667 0.500
As 0.333 0.167 0.500
As 0.667 0.833 0.500
As 0.833 0.333 0.500

Calculated values
Offset from the most stable computed form in meV per atom: 93
Uncorrected energy in eV per atom: -3.1354
ΔH_f (0 K) in eV/atom: -0.3740
Space group: P4/mbm, No. 127
V in Å³/f.u.: 104.6



# 2
A plane-wave DFT calculation with PBE was carried out for a relaxed structure of NaMgAs.

abc: 4.422 4.422 7.194
angles: 90.00 90.00 90.00
Fractional coordinates of all 6 atoms:
Na 0.250 0.250 0.134
Na 0.750 0.750 0.866
Mg 0.250 0.750 0.500
Mg 0.750 0.250 0.500
As 0.250 0.250 0.717
As 0.750 0.750 0.283

Calculated values
Uncorrected energy in eV per atom: -3.1616
ΔH_f (0 K) in eV/atom: -0.6406
Space group: P4/nmm, No. 129
V in Å³/f.u.: 70.3



# 3
A plane-wave DFT calculation with PBE was carried out for a relaxed structure of NaMgAs.

abc: 8.360 8.360 8.360
angles: 31.73 31.73 31.73
Fractional coordinates of all 6 atoms:
Na 0.128 0.128 0.128
Na 0.872 0.872 0.872
Mg 0.374 0.374 0.374
Mg 0.626 0.626 0.626
As 0.260 0.260 0.260
As 0.740 0.740 0.740

Calculated values
Uncorrected energy in eV per atom: -3.1379
ΔH_f (0 K) in eV/atom: -0.6169
Space group: R-3m, No. 166
V in Å³/f.u.: 71.8



# 4
A plane-wave DFT calculation with PBE was carried out for a relaxed structure of NaMg3As.

abc: 5.176 5.176 5.176
angles: 90.00 90.00 90.00
Fractional coordinates of all 5 atoms:
Na 0.000 0.000 0.000
Mg 0.000 0.000 0.500
Mg 0.000 0.500 0.000
Mg 0.500 0.000 0.000
As 0.500 0.500 0.500

Calculated values
Offset from the most stable computed form in meV per atom: 744
Uncorrected energy in eV per atom: -1.3614
ΔH_f (0 K) in eV/atom: 0.7891
Space group: Pm-3m, No. 221
V in Å³/f.u.: 138.6



# 5
A plane-wave DFT calculation with PBE was carried out for a relaxed structure of NaMgAs3.

abc: 5.010 5.010 5.010
angles: 90.00 90.00 90.00
Fractional coordinates of all 5 atoms:
Na 0.000 0.000 0.000
Mg 0.500 0.500 0.500
As 0.000 0.000 0.500
As 0.000 0.500 0.000
As 0.500 0.000 0.000

Calculated values
Offset from the most stable computed form in meV per atom: 490
Uncorrected energy in eV per atom: -2.5892
ΔH_f (0 K) in eV/atom: 0.7833
Space group: Pm-3m, No. 221
V in Å³/f.u.: 125.8



# 6
A plane-wave DFT calculation with PBE was carried out for a relaxed structure of Na5MgAs2.

abc: 5.267 5.267 18.169
angles: 90.00 90.00 120.00
Fractional coordinates of all 16 atoms:
Na 0.000 0.000 0.134
Na 0.000 0.000 0.366
Na 0.000 0.000 0.634
Na 0.000 0.000 0.866
Na 0.333 0.667 0.053
Na 0.333 0.667 0.250
Na 0.333 0.667 0.447
Na 0.667 0.333 0.553
Na 0.667 0.333 0.750
Na 0.667 0.333 0.947
Mg 0.333 0.667 0.750
Mg 0.667 0.333 0.250
As 0.333 0.667 0.611
As 0.333 0.667 0.889
As 0.667 0.333 0.111
As 0.667 0.333 0.389

Calculated values
Uncorrected energy in eV per atom: -2.4971
ΔH_f (0 K) in eV/atom: -0.3110
Space group: P6_3/mmc, No. 194
V in Å³/f.u.: 218.2